# 1
Computed, not measured: an optimized crystal structure of CaPrPd at the PBE-GGA level of DFT.

Structure (CIF):
```
data_CaPrPd
_chemical_formula_sum 'Ca4 Pr4 Pd4'
_cell_length_a 7.1261
_cell_length_b 7.1261
_cell_length_c 7.1261
_cell_angle_alpha 90.00
_cell_angle_beta 90.00
_cell_angle_gamma 90.00
_space_group_name_H-M_alt 'F -4 3 m'
_space_group_IT_number 216
_space_group_name_Hall 'F -4 2 3'
loop_
_atom_site_label
_atom_site_fract_x
_atom_site_fract_y
_atom_site_fract_z
Ca1 0.0000 0.0000 0.0000
Pr1 0.0000 0.0000 0.5000
Pd1 0.2500 0.2500 0.2500
```

## Properties
The calculation puts the energy above the lowest structure with this stoichiometry at 0.088 eV/atom. The value obtained for the density is 5.275 Mg/m³. The formation energy is -1.26 eV per formula unit. The density of states at the Fermi level is 13.4 states/eV per cell. For the calculated total energy, the calculation gives -13.2 eV per formula unit.



# 2
Computed, not measured: an optimized crystal structure of CaPr3Pd2 at the PBE-GGA level of DFT.

Structure (CIF):
```
data_CaPr3Pd2
_chemical_formula_sum 'Ca2 Pr6 Pd4'
_cell_length_a 5.0060
_cell_length_b 9.1064
_cell_length_c 7.5097
_cell_angle_alpha 90.00
_cell_angle_beta 90.00
_cell_angle_gamma 90.00
_space_group_name_H-M_alt 'P m c 21'
_space_group_IT_number 26
_space_group_name_Hall 'P 2c -2'
loop_
_atom_site_label
_atom_site_fract_x
_atom_site_fract_y
_atom_site_fract_z
Ca1 0.0000 0.0791 0.0000
Pr1 0.0000 0.3359 0.6321
Pr2 0.5000 0.1693 0.3406
Pr3 0.5000 0.4146 0.9743
Pd1 0.0000 0.3464 0.2364
Pd2 0.5000 0.1570 0.7345
```

## Properties
The value obtained for the density is 6.554 Mg/m³. The formation energy is -3.05 eV per formula unit. The density of states at the Fermi level is 11.1 states/eV per cell. For the calculated total energy, the calculation gives -29.8 eV per formula unit.



# 3
Computed, not measured: an optimized crystal structure of CaPr4Pd4 at the PBE-GGA level of DFT.

Structure (CIF):
```
data_CaPr4Pd4
_chemical_formula_sum 'Ca2 Pr8 Pd8'
_cell_length_a 9.3108
_cell_length_b 9.3108
_cell_length_c 5.9601
_cell_angle_alpha 90.00
_cell_angle_beta 90.00
_cell_angle_gamma 90.00
_space_group_name_H-M_alt 'P 42/n'
_space_group_IT_number 86
loop_
_space_group_symop_operation_xyz
'x,y,z'
'-x,-y,-z'
'-y,x+1/2,z+1/2'
'y,-x+1/2,-z+1/2'
'-x+1/2,-y+1/2,z'
'x+1/2,y+1/2,-z'
'y+1/2,-x,z+1/2'
'-y+1/2,x,-z+1/2'
loop_
_atom_site_label
_atom_site_fract_x
_atom_site_fract_y
_atom_site_fract_z
Ca1 0.2500 0.2500 0.2500
Pr1 0.0672 0.6570 0.1669
Pd1 0.0364 0.6298 0.6627
```

## Properties
The value obtained for the density is 6.617 Mg/m³. The formation energy is -5.27 eV per formula unit. The density of states at the Fermi level is 12.3 states/eV per cell. For the calculated total energy, the calculation gives -47.2 eV per formula unit.



# 4
Computed, not measured: an optimized crystal structure of CaPr3Pd at the PBE-GGA level of DFT.

Structure (CIF):
```
data_CaPr3Pd
_chemical_formula_sum 'Ca1 Pr3 Pd1'
_cell_length_a 5.7534
_cell_length_b 5.7534
_cell_length_c 5.7534
_cell_angle_alpha 90.00
_cell_angle_beta 90.00
_cell_angle_gamma 90.00
_space_group_name_H-M_alt 'P m -3 m'
_space_group_IT_number 221
_space_group_name_Hall '-P 4 2 3'
loop_
_atom_site_label
_atom_site_fract_x
_atom_site_fract_y
_atom_site_fract_z
Ca1 0.0000 0.0000 0.0000
Pr1 0.0000 0.5000 0.5000
Pd1 0.5000 0.5000 0.5000
```

## Properties
The calculation puts the energy above the lowest structure with this stoichiometry at 0.065 eV/atom. The value obtained for the density is 4.963 Mg/m³. The formation energy is -0.54 eV per formula unit. The density of states at the Fermi level is 10.2 states/eV per cell. For the calculated total energy, the calculation gives -22.1 eV per formula unit.



# 5
Computed, not measured: an optimized crystal structure of CaPr3Pd12 at the PBE-GGA level of DFT.

Structure (CIF):
```
data_CaPr3Pd12
_chemical_formula_sum 'Ca1 Pr3 Pd12'
_cell_length_a 4.1921
_cell_length_b 4.1921
_cell_length_c 16.8554
_cell_angle_alpha 90.00
_cell_angle_beta 90.00
_cell_angle_gamma 90.00
_space_group_name_H-M_alt 'P 4/m m m'
_space_group_IT_number 123
_space_group_name_Hall '-P 4 2'
loop_
_atom_site_label
_atom_site_fract_x
_atom_site_fract_y
_atom_site_fract_z
Ca1 0.0000 0.0000 0.0000
Pr1 0.0000 0.0000 0.2468
Pr2 0.0000 0.0000 0.5000
Pd1 0.0000 0.5000 0.1222
Pd2 0.0000 0.5000 0.3741
Pd3 0.5000 0.5000 0.0000
Pd4 0.5000 0.5000 0.2484
Pd5 0.5000 0.5000 0.5000
```

## Properties
The value obtained for the density is 9.753 Mg/m³. The formation energy is -10.85 eV per formula unit. The density of states at the Fermi level is 10.1 states/eV per cell. For the calculated total energy, the calculation gives -89.5 eV per formula unit.



# 6
Computed, not measured: an optimized crystal structure of Ca3Pr3Pd4 at the PBE-GGA level of DFT.

Structure (CIF):
```
data_Ca3Pr3Pd4
_chemical_formula_sum 'Ca6 Pr6 Pd8'
_cell_length_a 4.1619
_cell_length_b 11.2032
_cell_length_c 11.3560
_cell_angle_alpha 90.00
_cell_angle_beta 90.00
_cell_angle_gamma 90.00
_space_group_name_H-M_alt 'A m m 2'
_space_group_IT_number 38
_space_group_name_Hall 'A 2 -2'
loop_
_atom_site_label
_atom_site_fract_x
_atom_site_fract_y
_atom_site_fract_z
Ca1 0.0000 0.0000 0.0000
Ca2 0.5000 0.2461 0.0855
Pr1 0.0000 0.0000 0.6746
Pr2 0.0000 0.1637 0.3362
Pd1 0.5000 0.0000 0.2094
Pd2 0.5000 0.0000 0.4687
Pd3 0.5000 0.1317 0.8326
```

## Properties
The value obtained for the density is 6.076 Mg/m³. The formation energy is -6.37 eV per formula unit. The density of states at the Fermi level is 11.9 states/eV per cell. For the calculated total energy, the calculation gives -47.5 eV per formula unit.